No. 1
BaCaSbF7 | GGA-PBE | optimized geometry

a b c (Å): 5.9205 11.5055 9.7401
angles (deg): 90.00 96.77 90.00
With the nearest neighbours (Å) after each atom.
Sites, in units of the cell vectors:
Ba 0.2470 0.1442 0.0330  8 F 2.66-2.93
Ba 0.2470 0.3558 0.5330  8 F 2.66-2.93
Ba 0.7530 0.6442 0.4670  8 F 2.66-2.93
Ba 0.7530 0.8558 0.9670  8 F 2.66-2.93
Ca 0.1990 0.5393 0.1714  7 F 2.28-2.41
Ca 0.1990 0.9607 0.6714  7 F 2.28-2.41
Ca 0.8010 0.0393 0.3286  7 F 2.28-2.41
Ca 0.8010 0.4607 0.8286  7 F 2.28-2.41
Sb 0.2926 0.6678 0.7782  5 F 2.06-2.26
Sb 0.2926 0.8322 0.2782  5 F 2.06-2.26
Sb 0.7074 0.1678 0.7218  5 F 2.06-2.26
Sb 0.7074 0.3322 0.2218  5 F 2.06-2.26
F 0.0007 0.7187 0.1888  1 Sb 2.26, 1 Ca 2.39
F 0.0007 0.7813 0.6888  1 Sb 2.26, 1 Ca 2.39
F 0.0058 0.5118 0.6544  1 Ca 2.28
F 0.0058 0.9882 0.1544  1 Ca 2.28
F 0.1195 0.5724 0.9327  1 Sb 2.21, 2 Ca 2.35-2.41
F 0.1195 0.9276 0.4327  1 Sb 2.21, 2 Ca 2.35-2.41
F 0.2764 0.7099 0.4306  1 Sb 2.06
F 0.2764 0.7901 0.9306  1 Sb 2.06
F 0.3870 0.1303 0.5974  1 Sb 2.17, 1 Ca 2.40
F 0.3870 0.3697 0.0974  1 Sb 2.17, 1 Ca 2.40
F 0.4659 0.0282 0.8497  1 Ca 2.34, 1 Sb 2.57
F 0.4659 0.4718 0.3497  1 Ca 2.34, 1 Sb 2.57
F 0.4814 0.6882 0.2054  1 Sb 2.16, 1 Ca 2.39
F 0.4814 0.8118 0.7054  1 Sb 2.16, 1 Ca 2.39
F 0.5186 0.1882 0.2946  1 Sb 2.16, 1 Ca 2.39
F 0.5186 0.3118 0.7946  1 Sb 2.16, 1 Ca 2.39
F 0.5341 0.5282 0.6503  1 Ca 2.34, 1 Sb 2.57
F 0.5341 0.9718 0.1503  1 Ca 2.34, 1 Sb 2.57
F 0.6130 0.6303 0.9026  1 Sb 2.17, 1 Ca 2.40
F 0.6130 0.8697 0.4026  1 Sb 2.17, 1 Ca 2.40
F 0.7236 0.2099 0.0694  1 Sb 2.06
F 0.7236 0.2901 0.5694  1 Sb 2.06
F 0.8805 0.0724 0.5673  1 Sb 2.21, 2 Ca 2.35-2.41
F 0.8805 0.4276 0.0673  1 Sb 2.21, 2 Ca 2.35-2.41
F 0.9942 0.0118 0.8456  1 Ca 2.28
F 0.9942 0.4882 0.3456  1 Ca 2.28
F 0.9993 0.2187 0.3112  1 Sb 2.26, 1 Ca 2.39
F 0.9993 0.2813 0.8112  1 Sb 2.26, 1 Ca 2.39

Properties
For the formation energy without anion corrections, the calculation gives -3280.7 meV per atom. For the total energy, the calculation gives -5.3953 eV per atom. Its space-group type is P2_1/c (14). The density of states at the Fermi level is 0.00 states/eV/atom. Its calculated volume is 16.47 A^3/atom.

No. 2
ThZrPbAu | GGA-PBE | optimized geometry

a b c (Å): 5.2332 5.2332 5.2332
angles (deg): 60.00 60.00 60.00
With the nearest neighbours (Å) after each atom.
Sites, in units of the cell vectors:
Th 0.0000 0.0000 0.0000  4 Pb 3.20, 4 Au 3.20
Zr 0.5000 0.5000 0.5000  4 Au 3.20, 4 Pb 3.20
Pb 0.7500 0.7500 0.7500  4 Zr 3.20, 4 Th 3.20
Au 0.2500 0.2500 0.2500  4 Zr 3.20, 4 Th 3.20

Properties
For the total energy, the calculation gives -5.9720 eV per atom. Its space-group type is F-43m (216). As for the formation energy: -0.234 eV/atom. The density of states at the Fermi level is 1.18 states/eV/atom. Its calculated volume is 25.34 A^3/atom.

No. 3
LiBe2Cu2 | GGA-PBE | optimized geometry

a b c (Å): 6.5961 6.5961 2.5075
angles (deg): 90.00 90.00 90.00
With the nearest neighbours (Å) after each atom.
Sites, in units of the cell vectors:
Li 0.0000 0.0000 0.0000  2 Li 2.51, 4 Cu 2.52
Li 0.5000 0.5000 0.0000  2 Li 2.51, 4 Cu 2.52
Be 0.1460 0.3540 0.5000  6 Cu 2.29-2.31, 2 Be 2.51
Be 0.3540 0.8540 0.5000  6 Cu 2.29-2.31, 2 Be 2.51
Be 0.6460 0.1460 0.5000  6 Cu 2.29-2.31, 2 Be 2.51
Be 0.8540 0.6460 0.5000  6 Cu 2.29-2.31, 2 Be 2.51
Cu 0.1479 0.6479 0.0000  6 Be 2.29-2.31, 2 Cu 2.51, 2 Li 2.52
Cu 0.3521 0.1479 0.0000  6 Be 2.29-2.31, 2 Cu 2.51, 2 Li 2.52
Cu 0.6479 0.8521 0.0000  6 Be 2.29-2.31, 2 Cu 2.51, 2 Li 2.52
Cu 0.8521 0.3521 0.0000  6 Be 2.29-2.31, 2 Cu 2.51, 2 Li 2.52

Properties
The relative energy among the computed polymorphs is 39 meV/atom. For the total energy, the calculation gives -3.5535 eV per atom. Its space-group type is P4/mbm (127). As for the formation energy: -0.042 eV/atom. The density of states at the Fermi level is 0.34 states/eV/atom. Its calculated volume is 10.91 A^3/atom.

No. 4
HfSiI2N | GGA-PBE | optimized geometry

a b c (Å): 5.7569 5.7569 3.3700
angles (deg): 90.00 90.00 90.00
With the nearest neighbours (Å) after each atom.
Sites, in units of the cell vectors:
Hf 0.0000 0.0000 0.0000  8 I 3.34, 2 Hf 3.37
Si 0.5000 0.5000 0.5000  2 N 1.69
I 0.0000 0.5000 0.5000  2 Si 2.88
I 0.5000 0.0000 0.5000  2 Si 2.88
N 0.5000 0.5000 0.0000  2 Si 1.69

Properties
The relative energy among the computed polymorphs is 232 meV/atom. For the formation energy without anion corrections, the calculation gives 503.5 meV per atom. For the total energy, the calculation gives -4.8569 eV per atom. Its space-group type is P4/mmm (123). The density of states at the Fermi level is 0.72 states/eV/atom. Its calculated volume is 22.34 A^3/atom.